First-principles (PBE+U) data for HoV2ZnO6 after structural relaxation, as listed in the Alexandria database.

a = 5.581 Å, b = 5.300 Å, c = 9.249 Å
α = 55.24°, β = 90.00°, γ = 90.00°
Last column: magnetic moment on the atom in μB.
Atoms (fractional coordinates):
Ho (0.825, 0.271, 0.750)  0.01
Ho (0.175, 0.271, 0.250)  0.01
V (0.275, 0.003, 0.001)  1.86
V (0.725, 0.003, 0.501)  1.86
V (0.721, 0.504, 0.000)  1.11
V (0.279, 0.504, 0.500)  1.11
O (0.049, 0.367, 0.944)  -0.01
O (0.784, 0.132, 0.249)  -0.02
O (0.216, 0.132, 0.749)  -0.02
O (0.572, 0.235, 0.946)  -0.03
O (0.263, 0.858, 0.253)  -0.01
O (0.547, 0.617, 0.555)  -0.07
O (0.953, 0.744, 0.056)  -0.01
O (0.737, 0.858, 0.753)  -0.01
O (0.951, 0.367, 0.444)  -0.01
O (0.428, 0.235, 0.446)  -0.03
O (0.453, 0.617, 0.055)  -0.07
O (0.047, 0.744, 0.556)  -0.01
Zn (0.177, 0.771, 0.747)  0.01
Zn (0.823, 0.771, 0.247)  0.01

Uncorrected energy ... -146.52 eV per cell
Symmetry ... Pc